(1)
Computed, not measured: CeTh3 at its PBEsol-relaxed geometry at the meta-GGA SCAN level of DFT.

Unit cell a=4.8818 b=4.8818 c=4.8818 alpha=90.00 beta=90.00 gamma=90.00
Last column: nearest neighbours and their distance in Å.
Fractional coordinates of all 4 atoms:
Th 0.5000 0.5000 0.0000  8 Th 3.45, 4 Ce 3.45
Th 0.0000 0.5000 0.5000  4 Ce 3.45, 8 Th 3.45
Th 0.5000 0.0000 0.5000  8 Th 3.45, 4 Ce 3.45
Ce 0.0000 0.0000 0.0000  12 Th 3.45

Properties
* D(E_F): 1.385 states/eV per atom
* energy of formation: -10 meV/atom

=====

(2)
Computed, not measured: CoRu2 at its PBEsol-relaxed geometry at the meta-GGA SCAN level of DFT.

Unit cell a=2.6455 b=4.8660 c=6.1110 alpha=103.68 beta=90.00 gamma=105.77
Last column: nearest neighbours and their distance in Å.
Fractional coordinates of all 6 atoms:
Ru 0.3103 0.6207 0.8651  5 Co 2.53-2.57, 7 Ru 2.58-2.65
Ru 0.6897 0.3793 0.1349  5 Co 2.53-2.57, 7 Ru 2.58-2.65
Ru 0.3620 0.7241 0.4679  8 Ru 2.52-2.65, 4 Co 2.54-2.63
Ru 0.6380 0.2759 0.5321  8 Ru 2.52-2.65, 4 Co 2.54-2.63
Co 0.9708 0.9416 0.1920  9 Ru 2.53-2.63, 3 Co 2.54-2.65
Co 0.0292 0.0584 0.8080  9 Ru 2.53-2.63, 3 Co 2.54-2.65

Properties
* D(E_F): 0.903 states/eV per atom
* energy of formation: 153 meV/atom

=====

(3)
Computed, not measured: Rb2NaErCl6 at its PBEsol-relaxed geometry at the meta-GGA SCAN level of DFT.

Unit cell a=7.4383 b=7.4383 c=7.4383 alpha=60.00 beta=60.00 gamma=60.00
Last column: nearest neighbours and their distance in Å.
Fractional coordinates of all 10 atoms:
Cl 0.2444 0.2444 0.7556  1 Er 2.57, 1 Na 2.69
Cl 0.2444 0.7556 0.7556  1 Er 2.57, 1 Na 2.69
Cl 0.7556 0.2444 0.7556  1 Er 2.57, 1 Na 2.69
Cl 0.2444 0.7556 0.2444  1 Er 2.57, 1 Na 2.69
Cl 0.7556 0.7556 0.2444  1 Er 2.57, 1 Na 2.69
Cl 0.7556 0.2444 0.2444  1 Er 2.57, 1 Na 2.69
Na 0.5000 0.5000 0.5000  6 Cl 2.69
Rb 0.7500 0.7500 0.7500  12 Cl 3.72
Rb 0.2500 0.2500 0.2500  12 Cl 3.72
Er 0.0000 0.0000 0.0000  6 Cl 2.57

Properties
* D(E_F): 0.000 states/eV per atom
* formation energy (no corrections): -23.49 eV/f.u.

=====

(4)
Computed, not measured: InAgP2Se6 at its PBEsol-relaxed geometry at the meta-GGA SCAN level of DFT.

Unit cell a=6.4453 b=6.4453 c=13.2983 alpha=90.00 beta=90.00 gamma=120.00
Last column: nearest neighbours and their distance in Å.
Fractional coordinates of all 20 atoms:
Se 0.0098 0.6744 0.3828  1 P 2.20
Se 0.6744 0.0098 0.8828  1 P 2.20
Se 0.3256 0.3354 0.3828  1 P 2.20
Se 0.6744 0.6646 0.6172  1 P 2.20
Se 0.3256 0.9902 0.1172  1 P 2.20
Se 0.9902 0.3256 0.6172  1 P 2.20
Se 0.9902 0.6646 0.8828  1 P 2.20
Se 0.6646 0.9902 0.3828  1 P 2.20
Se 0.6646 0.6744 0.1172  1 P 2.20
Se 0.3354 0.3256 0.8828  1 P 2.20
Se 0.0098 0.3354 0.1172  1 P 2.20
Se 0.3354 0.0098 0.6172  1 P 2.20
P 0.3333 0.6667 0.1649  3 Se 2.20, 1 P 2.26
P 0.3333 0.6667 0.3351  3 Se 2.20, 1 P 2.26
P 0.6667 0.3333 0.6649  3 Se 2.20, 1 P 2.26
P 0.6667 0.3333 0.8351  3 Se 2.20, 1 P 2.26
In 0.0000 0.0000 0.2500  6 Se 2.77
In 0.0000 0.0000 0.7500  6 Se 2.77
Ag 0.3333 0.6667 0.7500  6 Se 2.83
Ag 0.6667 0.3333 0.2500  6 Se 2.83

Properties
* formation energy (no corrections): -2.83 eV/f.u.